Entry 1:
TbPmThIn, optimized geometry, DFT PBE; N(E_F) = 7.0 states/eV/f.u.; VASP energy = -19.703 eV per cell; formation enthalpy at 0 K = -0.041 eV/atom; magnetization = 0.00 μB per cell
1.0
0.000 3.896 3.896
3.896 0.000 3.896
3.896 3.896 0.000
Tb Pm Th In
1 1 1 1
Cartesian
0.000 0.000 0.000 Tb
3.896 3.896 3.896 Pm
5.844 5.844 5.844 Th
1.948 1.948 1.948 In

Entry 2:
Ho6Ir5, optimized geometry, DFT PBE; N(E_F) = 4.3 states/eV/f.u.; VASP energy = -80.907 eV per cell; formation enthalpy at 0 K = -0.830 eV/atom; magnetization = 0.00 μB per cell
1.0
-2.424 3.334 7.288
2.424 -3.334 7.288
2.424 3.334 -7.288
Ho Ir
6 5
Cartesian
2.424 1.654 -2.415 Ho
0.000 1.655 0.000 Ho
2.424 1.654 2.415 Ho
0.000 1.680 4.873 Ho
0.000 5.013 0.000 Ho
0.000 1.680 9.703 Ho
0.000 0.000 2.452 Ir
2.424 0.000 4.870 Ir
0.000 0.000 7.288 Ir
0.000 3.334 2.419 Ir
0.000 0.000 12.124 Ir

Entry 3:
NaYTi, optimized geometry, DFT PBE; N(E_F) = 3.1 states/eV/f.u.; VASP energy = -29.543 eV per cell; formation enthalpy at 0 K = 0.302 eV/atom; magnetization = 0.00 μB per cell; relative energy among the computed polymorphs = 195 meV/atom
1.0
3.282 0.000 0.000
1.637 5.705 0.000
1.640 2.352 8.782
Na Y Ti
2 2 2
Cartesian
1.642 2.476 3.656 Na
4.918 5.580 5.127 Na
3.286 2.983 7.198 Y
3.274 5.074 1.585 Y
3.276 6.045 8.085 Ti
3.284 2.011 0.697 Ti

Entry 4:
AcCd2Pb, optimized geometry, DFT PBE; N(E_F) = 2.8 states/eV/f.u.; VASP energy = -10.859 eV per cell; formation enthalpy at 0 K = -0.303 eV/atom; magnetization = 0.00 μB per cell
1.0
4.855 0.000 0.000
0.000 4.855 0.000
0.000 0.000 5.117
Ac Cd Pb
1 2 1
Cartesian
0.000 0.000 0.000 Ac
0.000 2.427 2.559 Cd
2.427 0.000 2.559 Cd
2.427 2.427 0.000 Pb

Entry 5:
LaAl2P, optimized geometry, DFT PBE; N(E_F) = 2.9 states/eV/f.u.; VASP energy = -18.451 eV per cell; formation enthalpy at 0 K = -0.157 eV/atom; magnetization = 0.00 μB per cell
1.0
1.802 1.041 8.189
-1.802 1.041 8.189
0.000 -2.081 8.189
La Al P
1 2 1
Cartesian
0.000 0.000 0.000 La
0.000 0.000 5.513 Al
0.000 0.000 19.055 Al
0.000 0.000 12.284 P